[1]
Ac5La12Dy2 | PBE | relaxed

Values from the calculation:
uncorrected energy	-4.587	eV per atom
DOS at the Fermi energy	1.718	states/eV per atom
calculated formation energy	1.7	eV/f.u.

Structure (extended XYZ):
```
19
Lattice="-0.823 3.669 5.292 -0.146 -7.909 7.928 9.934 -1.394 4.979" Properties=species:S:1:pos:R:3 pbc="T T T"
La 8.004 -2.595 9.068
La 0.248 -3.764 5.695
La 8.618 -8.180 11.391
Ac 6.469 -5.740 9.431
La 3.594 -5.181 14.002
La 0.960 -3.039 9.131
La 4.790 -2.452 10.958
Ac 7.210 -5.213 13.129
La 3.115 -5.754 10.498
La 5.849 0.121 7.701
La 5.371 -0.453 4.197
La 8.716 -1.870 12.503
La 4.174 -3.182 7.241
Ac -0.412 1.835 2.646
Dy 2.176 -6.408 7.249
La 0.346 2.546 6.808
Ac 1.755 -0.420 5.069
Dy 7.612 -2.895 5.658
Ac 2.496 0.107 8.767
```



[2]
Ti5Pd5Pt2 | PBE | relaxed

Values from the calculation:
uncorrected energy	-7.093	eV per atom
DOS at the Fermi energy	0.939	states/eV per atom
calculated formation energy	-7.6	eV/f.u.

Structure (extended XYZ):
```
12
Lattice="-2.398 1.260 2.669 -3.470 -1.791 -4.982 2.388 -6.839 5.375" Properties=species:S:1:pos:R:3 pbc="T T T"
Pd -3.200 -0.805 -2.495
Pd -2.024 -6.016 1.022
Pt -4.460 -2.073 -0.320
Ti -1.639 -5.154 3.670
Ti -0.287 -3.679 1.479
Ti -3.193 -3.690 1.583
Pd -1.456 -1.353 2.040
Pt 0.980 -5.296 3.382
Pd -0.281 -6.564 5.557
Ti -1.841 -2.215 -0.608
Ti 0.000 0.000 0.000
Pd -0.005 -2.789 4.022
```



[3]
SrOsO2F | PBE | relaxed

Values from the calculation:
uncorrected energy	-4.782	eV per atom
energy relative to the elements, uncorrected	0.158	eV per atom
DOS at the Fermi energy	0.849	states/eV per atom

Structure (extended XYZ):
```
5
Lattice="-2.329 -3.502 1.948 2.461 -3.028 -2.501 3.016 -0.212 3.224" Properties=species:S:1:pos:R:3 pbc="T T T"
O -1.164 -1.751 0.974
F 1.508 -0.106 1.612
Sr 0.000 0.000 0.000
Os 1.574 -3.371 1.336
O 1.230 -1.514 -1.251
```



[4]
YMnTc2 | PBE | relaxed

Values from the calculation:
uncorrected energy	-8.709	eV per atom
energy above the lowest structure with this stoichiometry	222	meV per atom
DOS at the Fermi energy	1.204	states/eV per atom
calculated formation energy	1.5	eV/f.u.

Structure (extended XYZ):
```
4
Lattice="5.234 -0.023 -0.075 -2.377 4.787 0.014 0.481 0.830 2.667" Properties=species:S:1:pos:R:3 pbc="T T T"
Tc 2.858 0.403 1.296
Y -0.948 2.808 1.341
Mn 1.429 2.382 -0.031
Tc 0.000 0.000 0.000
```



[5]
AcTiNbIr2 | PBE | relaxed

Values from the calculation:
uncorrected energy	-8.616	eV per atom
DOS at the Fermi energy	0.828	states/eV per atom
calculated formation energy	-3.3	eV/f.u.

Structure (extended XYZ):
```
5
Lattice="4.457 0.000 0.000 0.000 4.457 0.000 -2.229 -2.229 5.422" Properties=species:S:1:pos:R:3 pbc="T T T"
Ti 0.000 2.229 2.711
Ac 0.000 0.000 0.000
Ir 2.229 2.229 1.387
Nb 2.229 0.000 2.711
Ir 0.000 0.000 4.036
```



[6]
Zr2ZnNiH | PBE | relaxed

Values from the calculation:
uncorrected energy	-5.824	eV per atom
DOS at the Fermi energy	0.869	states/eV per atom

Structure (extended XYZ):
```
5
Lattice="-3.822 -0.749 2.161 1.871 -3.446 2.113 1.075 2.222 2.672" Properties=species:S:1:pos:R:3 pbc="T T T"
H 0.000 0.000 0.000
Zr -1.911 -0.375 1.081
Ni 0.538 1.111 1.336
Zr 0.935 -1.723 1.057
Zn -0.438 -0.986 3.473
```



[7]
Rb2BeGeF6 | PBE | relaxed

Values from the calculation:
uncorrected energy	-4.730	eV per atom
energy relative to the elements, uncorrected	-2.579	eV per atom
DOS at the Fermi energy	0.000	states/eV per atom

Structure (extended XYZ):
```
10
Lattice="5.839 0.000 0.000 0.000 5.839 0.000 2.920 2.920 4.137" Properties=species:S:1:pos:R:3 pbc="T T T"
F 2.920 2.920 1.845
F 4.218 4.218 0.000
Ge 0.000 0.000 0.000
Rb 5.839 2.920 2.069
Rb 2.920 5.839 2.069
F 1.621 4.218 0.000
F 5.839 5.839 2.292
F 4.218 1.621 0.000
Be 2.920 2.920 0.000
F 1.621 1.621 0.000
```



[8]
Li2CuTcNi | PBE | relaxed

Values from the calculation:
uncorrected energy	-4.017	eV per atom
DOS at the Fermi energy	0.726	states/eV per atom
calculated formation energy	4.0	eV/f.u.

Structure (extended XYZ):
```
5
Lattice="-3.059 2.740 -0.812 -2.842 -2.483 2.327 0.983 2.126 3.469" Properties=species:S:1:pos:R:3 pbc="T T T"
Ni 0.000 0.000 0.000
Tc -1.421 -1.242 1.163
Cu -2.459 1.191 2.492
Li -1.529 1.370 -0.406
Li 0.492 1.063 1.735
```